Here is an optimized crystal structure of V2GaCo4 from the Alexandria database. Energies are from PBE.

a = 4.2095 Å, b = 4.2095 Å, c = 11.7581 Å
α = 90.00°, β = 90.00°, γ = 90.00°
With the nearest neighbours (Å) after each atom.
Space group I4/mmm (No. 139)
Inequivalent atoms, fractional coordinates:
V: 0.0000 0.0000 0.1257  1 Co 2.05
Ga: 0.0000 0.0000 0.5000  6 Co 2.10-2.35
Co: 0.0000 0.0000 0.3002  1 V 2.05
Co: 0.0000 0.5000 0.0000  2 Ga 2.10

Properties
magnetic moment	2.2	μB per formula unit
ΔH_f (0 K)	0.912	eV/atom
calculated total energy	-86.61	eV for the cell shown